No. 1
Density functional theory data (GGA-PBE) for crystalline CaNi3I at its relaxed geometry.

Calculated values
total magnetization	0.215	μB per cell
N(E_F)	5.375	states/eV/cell
final energy	-13.96	eV for the cell shown
formation energy from raw total energies	1386	meV/atom

extended XYZ file:
```
5
Lattice="4.7360 0.0000 0.0000 0.0000 4.7360 0.0000 0.0000 0.0000 4.7360" Properties=species:S:1:pos:R:3 pbc="T T T"
Ca 0.0000 0.0000 0.0000
Ni 0.0000 0.0000 2.3680
Ni 0.0000 2.3680 0.0000
Ni 2.3680 0.0000 0.0000
I 2.3680 2.3680 2.3680
```

=====

No. 2
Density functional theory data (GGA-PBE) for crystalline NdHoCuAu at its relaxed geometry.

Calculated values
total magnetization	0.000	μB per cell
N(E_F)	3.619	states/eV/cell
final energy	-18.67	eV for the cell shown
formation enthalpy at 0 K	-0.488	eV/atom

extended XYZ file:
```
4
Lattice="0.0000 3.6020 3.6020 3.6020 0.0000 3.6020 3.6020 3.6020 0.0000" Properties=species:S:1:pos:R:3 pbc="T T T"
Nd 0.0000 0.0000 0.0000
Ho 3.6020 3.6020 3.6020
Cu 1.8010 1.8010 1.8010
Au 5.4030 5.4030 5.4030
```

=====

No. 3
Density functional theory data (GGA-PBE) for crystalline TbPrMg at its relaxed geometry.

Calculated values
total magnetization	0.000	μB per cell
N(E_F)	3.807	states/eV/cell
final energy	-10.90	eV for the cell shown
formation enthalpy at 0 K	0.036	eV/atom

extended XYZ file:
```
3
Lattice="5.5328 0.0000 0.0000 -2.7664 4.7915 0.0000 0.0000 0.0000 3.4570" Properties=species:S:1:pos:R:3 pbc="T T T"
Tb 0.0000 0.0000 0.0000
Pr 2.7664 1.5972 1.4978
Mg 0.0000 3.1944 2.5486
```

=====

No. 4
Density functional theory data (GGA-PBE) for crystalline CaPm4Co at its relaxed geometry.

Calculated values
total magnetization	0.002	μB per cell
N(E_F)	15.583	states/eV/cell
final energy	-55.93	eV for the cell shown
formation enthalpy at 0 K	0.024	eV/atom

extended XYZ file:
```
12
Lattice="8.8060 -3.7355 0.0000 8.8060 3.7355 0.0000 -2.0333 0.0000 5.9181" Properties=species:S:1:pos:R:3 pbc="T T T"
Ca 3.0723 0.0000 1.1045
Ca 12.5064 0.0000 4.8136
Pm 6.1151 1.8833 2.2776
Pm 8.8060 1.8096 0.0000
Pm 3.9895 0.0000 4.7388
Pm 9.4636 1.8833 3.6405
Pm 6.1151 -1.8833 2.2776
Pm 11.5892 0.0000 1.1793
Pm 8.8060 -1.8096 0.0000
Pm 9.4636 -1.8833 3.6405
Co 6.9407 0.0000 3.9078
Co 8.6380 0.0000 2.0103
```

=====

No. 5
Density functional theory data (GGA-PBE) for crystalline CsIrOs2O8 at its relaxed geometry.

Calculated values
total magnetization	1.604	μB per cell
N(E_F)	6.664	states/eV/cell
final energy	-82.85	eV for the cell shown
formation energy from raw total energies	-918	meV/atom

extended XYZ file:
```
12
Lattice="4.0453 -2.9576 0.0000 4.0453 2.9576 0.0000 -1.1271 0.0000 9.0270" Properties=species:S:1:pos:R:3 pbc="T T T"
Cs 0.0000 0.0000 0.0000
Ir -0.5635 0.0000 4.5135
Os 2.4151 0.0000 6.2705
Os 4.5484 0.0000 2.7564
O 3.5901 1.5370 3.0276
O 1.3872 0.0000 4.7206
O 3.3734 1.5370 5.9993
O 1.7091 0.0000 7.8865
O 5.2544 0.0000 1.1404
O 3.5901 -1.5370 3.0276
O 5.5763 0.0000 4.3063
O 3.3734 -1.5370 5.9993
```

=====

No. 6
Density functional theory data (GGA-PBE) for crystalline LiDyHo2S4 at its relaxed geometry.

Calculated values
total magnetization	0.000	μB per cell
N(E_F)	2.450	states/eV/cell
final energy	-47.66	eV for the cell shown
formation energy from raw total energies	-1935	meV/atom

extended XYZ file:
```
8
Lattice="6.7008 0.0000 0.0000 0.0000 3.8643 0.0000 -2.2233 0.0000 6.3220" Properties=species:S:1:pos:R:3 pbc="T T T"
Li 0.0000 0.0000 0.0000
Dy -1.1117 1.9322 3.1610
Ho 2.2387 0.0000 3.1610
Ho 3.3504 1.9322 0.0000
S 1.1059 1.9322 1.5502
S -0.0219 0.0000 4.7740
S 4.4994 0.0000 1.5480
S 3.3716 1.9322 4.7718
```

=====

No. 7
Density functional theory data (GGA-PBE) for crystalline LuTh2Cd at its relaxed geometry.

Calculated values
total magnetization	0.000	μB per cell
N(E_F)	4.893	states/eV/cell
final energy	-20.13	eV for the cell shown
formation enthalpy at 0 K	0.037	eV/atom

extended XYZ file:
```
4
Lattice="5.6923 0.0000 0.0000 0.0000 5.6923 0.0000 0.0000 0.0000 3.6404" Properties=species:S:1:pos:R:3 pbc="T T T"
Lu 0.0000 0.0000 0.0000
Th 0.0000 2.8462 1.8202
Th 2.8462 0.0000 1.8202
Cd 2.8462 2.8462 0.0000
```

=====

No. 8
Density functional theory data (GGA-PBE) for crystalline Rb3HfTl at its relaxed geometry.

Calculated values
total magnetization	2.371	μB per cell
N(E_F)	11.249	states/eV/cell
final energy	-9.37	eV for the cell shown
formation enthalpy at 0 K	1.171	eV/atom

extended XYZ file:
```
5
Lattice="6.9255 0.0000 0.0000 0.0000 6.9255 0.0000 0.0000 0.0000 6.9255" Properties=species:S:1:pos:R:3 pbc="T T T"
Rb 0.0000 0.0000 3.4627
Rb 0.0000 3.4627 0.0000
Rb 3.4627 0.0000 0.0000
Hf 3.4627 3.4627 3.4627
Tl 0.0000 0.0000 0.0000
```

=====

Which value of final energy does entry 4 give? -55.93 eV for the cell shown